No. 1
DFT (PBE) results for an optimized crystal structure of ZrCdSn2.

The structure in extended XYZ format:
```
4
Lattice="1.664 0.960 10.801 -1.664 0.960 10.801 0.000 -1.921 10.801" Properties=species:S:1:pos:R:3 pbc="T T T"
Zr 0.000 0.000 0.000
Cd 0.000 0.000 16.202
Sn 0.000 0.000 2.922
Sn 0.000 0.000 29.482
```

**DFT formation energy**: 0.231 eV per atom
**DOS at the Fermi energy**: 0.768 states/eV/atom
**Calculated volume**: 25.89 Å³/atom
**Final energy**: -16.54 eV per formula unit
**Crystal system**: trigonal
**Magnetic moment**: 0.0 μB per cell



No. 2
DFT (PBE) results for an optimized crystal structure of Ba2TcAs.

The structure in extended XYZ format:
```
4
Lattice="3.609 -4.513 0.000 3.609 4.513 0.000 0.000 0.000 3.698" Properties=species:S:1:pos:R:3 pbc="T T T"
Ba 1.804 2.257 0.000
Ba 1.804 -2.257 0.000
Tc 0.000 0.000 1.849
As 3.609 0.000 1.849
```

**DFT formation energy**: 0.339 eV per atom
**DOS at the Fermi energy**: 0.982 states/eV/atom
**Calculated volume**: 30.11 Å³/atom
**Final energy**: -17.51 eV per formula unit
**Crystal system**: orthorhombic
**Magnetic moment**: 2.4 μB per cell



Q: What is the final energy in the second record?
A: -17.51 eV per formula unit